## ScTaMo (PBE)

Data for a relaxed ScTaMo crystal.

abc: 4.666 4.666 2.909
angles: 90.00 90.00 120.00
Fractional coordinates of all 3 atoms:
Sc1 0.000 0.000 0.000
Ta1 0.667 0.333 0.585
Mo1 0.333 0.667 0.337

Calculated values
Formation enthalpy at 0 K: 0.07 eV per atom
Crystal system: trigonal
DOS(E_F): 3.62 states/eV per cell
E above lowest polymorph: 0.12 eV per formula unit



## TaSiOs (PBE)

Data for a relaxed TaSiOs crystal.

abc: 5.521 5.521 5.521
angles: 149.10 149.10 44.27
Fractional coordinates of all 3 atoms:
Ta1 0.000 0.000 0.000
Si1 0.321 0.321 0.000
Os1 0.691 0.691 0.000

Calculated values
Raw formation energy: -0.372 eV/atom
Crystal system: tetragonal
DOS(E_F): 2.10 states/eV per cell



## Hf2CuOs (PBE)

Data for a relaxed Hf2CuOs crystal.

abc: 4.604 4.604 4.604
angles: 60.00 60.00 60.00
Fractional coordinates of all 4 atoms:
Hf1 0.250 0.250 0.250
Hf2 0.750 0.750 0.750
Cu1 0.000 0.000 0.000
Os1 0.500 0.500 0.500

Calculated values
Formation enthalpy at 0 K: -0.43 eV per atom
Crystal system: cubic
DOS(E_F): 2.01 states/eV per cell
E above lowest polymorph: 0.00 eV per formula unit



## MnFeP2 (PBE)

Data for a relaxed MnFeP2 crystal.

abc: 3.138 5.789 5.135
angles: 90.00 90.00 90.00
Fractional coordinates of all 8 atoms:
Mn1 0.000 0.047 0.000
Mn2 0.000 0.953 0.500
Fe1 0.500 0.446 0.996
Fe2 0.500 0.554 0.496
P1 0.000 0.325 0.688
P2 0.000 0.675 0.188
P3 0.500 0.185 0.312
P4 0.500 0.815 0.812

Calculated values
Formation enthalpy at 0 K: -0.59 eV per atom
Crystal system: orthorhombic
DOS(E_F): 5.62 states/eV per cell
E above lowest polymorph: 0.00 eV per formula unit



## NiPW2 (PBE)

Data for a relaxed NiPW2 crystal.

abc: 8.473 8.473 8.473
angles: 19.07 19.07 19.07
Fractional coordinates of all 4 atoms:
Ni1 0.000 0.000 0.000
P1 0.737 0.737 0.737
W1 0.247 0.247 0.247
W2 0.483 0.483 0.483

Calculated values
Formation enthalpy at 0 K: 0.19 eV per atom
Crystal system: trigonal
DOS(E_F): 4.71 states/eV per cell



## KGdTe2 (PBE)

Data for a relaxed KGdTe2 crystal.

abc: 8.630 8.630 8.630
angles: 30.53 30.53 30.53
Fractional coordinates of all 4 atoms:
K1 0.000 0.000 0.000
Gd1 0.500 0.500 0.500
Te1 0.237 0.237 0.237
Te2 0.763 0.763 0.763

Calculated values
Raw formation energy: -1.418 eV/atom
Crystal system: trigonal



## CrTe3Mo (PBE)

Data for a relaxed CrTe3Mo crystal.

abc: 5.250 5.250 5.250
angles: 90.00 90.00 90.00
Fractional coordinates of all 5 atoms:
Cr1 0.000 0.000 0.000
Te1 0.000 0.500 0.500
Te2 0.500 0.000 0.500
Te3 0.500 0.500 0.000
Mo1 0.500 0.500 0.500

Calculated values
Raw formation energy: 1.328 eV/atom
Crystal system: cubic
DOS(E_F): 16.03 states/eV per cell
E above lowest polymorph: 2.05 eV per formula unit



## TiTePtN2 (PBE)

Data for a relaxed TiTePtN2 crystal.

abc: 3.848 3.848 6.134
angles: 90.00 90.00 90.00
Fractional coordinates of all 5 atoms:
Ti1 0.000 0.000 0.000
Te1 0.000 0.000 0.500
Pt1 0.500 0.500 0.500
N1 0.000 0.500 0.000
N2 0.500 0.000 0.000

Calculated values
Raw formation energy: 0.511 eV/atom
Crystal system: tetragonal
DOS(E_F): 4.75 states/eV per cell
E above lowest polymorph: 0.00 eV per formula unit



Listing M_tot for the structures above in their given order: 0.0 0.0 0.0 3.7 0.0 7.0 0.7 0.0 μB/cell.